No. 1
VASP calculation (PBE) on Zr2TlTe after structural relaxation.

Computed properties:
Calculated volume in Å³/cell: 293.4
Uncorrected formation energy in meV/atom: -236.2

Lattice parameters (Å, degrees): 3.5468 3.5468 26.9293 90.00 90.00 120.00
Closest atoms and distances in Å follow each position.
Fractional positions:
Zr 0.0000 0.0000 0.2449  3 Te 2.94, 3 Tl 3.14
Zr 0.0000 0.0000 0.7551  3 Te 2.94, 3 Tl 3.14
Zr 0.3333 0.6667 0.4218  3 Te 2.94, 3 Tl 3.14
Zr 0.3333 0.6667 0.9116  3 Te 2.94, 3 Tl 3.14
Zr 0.6667 0.3333 0.0884  3 Te 2.94, 3 Tl 3.14
Zr 0.6667 0.3333 0.5782  3 Te 2.94, 3 Tl 3.14
Tl 0.0000 0.0000 0.0000  6 Zr 3.14
Tl 0.3333 0.6667 0.6667  6 Zr 3.14
Tl 0.6667 0.3333 0.3333  6 Zr 3.14
Te 0.0000 0.0000 0.5000  6 Zr 2.94
Te 0.3333 0.6667 0.1667  6 Zr 2.94
Te 0.6667 0.3333 0.8333  6 Zr 2.94



No. 2
VASP calculation (PBE) on ZrTlCo after structural relaxation.

Computed properties:
Formation energy from the elements in meV/atom: 97.9
Calculated volume in Å³/cell: 243.4

Lattice parameters (Å, degrees): 6.2439 6.2439 6.2439 90.00 90.00 90.00
Closest atoms and distances in Å follow each position.
Fractional positions:
Zr 0.0000 0.0000 0.0000  4 Co 2.70
Zr 0.0000 0.5000 0.5000  4 Co 2.70
Zr 0.5000 0.0000 0.5000  4 Co 2.70
Zr 0.5000 0.5000 0.0000  4 Co 2.70
Tl 0.0000 0.0000 0.5000  4 Co 2.70
Tl 0.0000 0.5000 0.0000  4 Co 2.70
Tl 0.5000 0.0000 0.0000  4 Co 2.70
Tl 0.5000 0.5000 0.5000  4 Co 2.70
Co 0.2500 0.2500 0.2500  4 Zr 2.70, 4 Tl 2.70
Co 0.2500 0.7500 0.7500  4 Zr 2.70, 4 Tl 2.70
Co 0.7500 0.2500 0.7500  4 Zr 2.70, 4 Tl 2.70
Co 0.7500 0.7500 0.2500  4 Zr 2.70, 4 Tl 2.70



Please write out number 1 again, unchanged.
VASP calculation (PBE) on Zr2TlTe after structural relaxation.

Computed properties:
Calculated volume in Å³/cell: 293.4
Uncorrected formation energy in meV/atom: -236.2

Lattice parameters (Å, degrees): 3.5468 3.5468 26.9293 90.00 90.00 120.00
Closest atoms and distances in Å follow each position.
Fractional positions:
Zr 0.0000 0.0000 0.2449  3 Te 2.94, 3 Tl 3.14
Zr 0.0000 0.0000 0.7551  3 Te 2.94, 3 Tl 3.14
Zr 0.3333 0.6667 0.4218  3 Te 2.94, 3 Tl 3.14
Zr 0.3333 0.6667 0.9116  3 Te 2.94, 3 Tl 3.14
Zr 0.6667 0.3333 0.0884  3 Te 2.94, 3 Tl 3.14
Zr 0.6667 0.3333 0.5782  3 Te 2.94, 3 Tl 3.14
Tl 0.0000 0.0000 0.0000  6 Zr 3.14
Tl 0.3333 0.6667 0.6667  6 Zr 3.14
Tl 0.6667 0.3333 0.3333  6 Zr 3.14
Te 0.0000 0.0000 0.5000  6 Zr 2.94
Te 0.3333 0.6667 0.1667  6 Zr 2.94
Te 0.6667 0.3333 0.8333  6 Zr 2.94



- The highest calculated volume belongs to which entry?
  Zr2TlTe



- Among the records above, which one has the lowest calculated volume?
  ZrTlCo